Crystalline Zr2TiPt at its relaxed geometry. Source: Alexandria, functional PBE.

The value obtained for the offset from the most stable computed form is 92.3 meV per atom. The value obtained for the formation energy is -1.7 eV/f.u. The total energy is -130.96 eV for the cell shown. The value obtained for the magnetization is 0.3840 μB/atom.

The space group is Fm-3m (No. 225) and the conventional cell measures 6.723, 6.723 and 6.723 Å, with angles of 90.00, 90.00 and 90.00 degrees. The asymmetric unit holds Zr at (0.250, 0.250, 0.250), Ti at (0.000, 0.000, 0.000) and Pt at (0.000, 0.000, 0.500).

***

Crystalline Ce2Sm2Tc at its relaxed geometry. Source: Alexandria, functional PBE.

The value obtained for the formation energy is 0.2 eV/f.u. The total energy is -125.72 eV for the cell shown. The value obtained for the magnetization is 0.0000 μB/atom.

The space group is C2/c (No. 15) and the conventional cell measures 11.889, 6.835 and 7.001 Å, with angles of 90.00, 102.16 and 90.00 degrees. The asymmetric unit holds Ce at (0.097, 0.115, 0.498), Sm at (0.155, 0.400, 0.128) and Tc at (0.000, 0.275, 0.750).